1.
{
  "formula": "TbSmBiPb",
  "functional": "GGA-PBE",
  "state": "relaxed",
  "lattice": [[4.375, 0.000, 0.000], [-2.188, 3.789, 0.000], [0.000, 0.000, 23.454]],
  "species": ["Tb", "Tb", "Tb", "Sm", "Sm", "Sm", "Bi", "Bi", "Bi", "Pb", "Pb", "Pb"],
  "frac_coords": [[0.000, 0.000, 0.000], [0.333, 0.667, 0.667], [0.667, 0.333, 0.333], [0.000, 0.000, 0.497], [0.333, 0.667, 0.163], [0.667, 0.333, 0.830], [0.000, 0.000, 0.747], [0.333, 0.667, 0.414], [0.667, 0.333, 0.080], [0.000, 0.000, 0.250], [0.333, 0.667, 0.916], [0.667, 0.333, 0.583]],
  "formation_energy_ev_per_fu": -2.57,
  "crystal_system": "trigonal"
}


2.
{
  "formula": "Sm8Bi4Te3Pb",
  "functional": "GGA-PBE",
  "state": "relaxed",
  "lattice": [[4.518, 2.608, 7.368], [-4.518, 2.608, 7.368], [0.000, -5.217, 7.368]],
  "species": ["Sm", "Sm", "Sm", "Sm", "Sm", "Sm", "Sm", "Sm", "Bi", "Bi", "Bi", "Bi", "Te", "Te", "Te", "Pb"],
  "frac_coords": [[0.247, 0.752, 0.752], [0.248, 0.248, 0.753], [0.248, 0.753, 0.248], [0.249, 0.249, 0.249], [0.751, 0.751, 0.751], [0.752, 0.247, 0.752], [0.752, 0.752, 0.247], [0.753, 0.248, 0.248], [0.000, 0.000, 0.500], [0.000, 0.500, 0.000], [0.500, 0.000, 0.000], [0.500, 0.500, 0.500], [0.000, 0.500, 0.500], [0.500, 0.000, 0.500], [0.500, 0.500, 0.000], [0.000, 0.000, 0.000]],
  "crystal_system": "trigonal",
  "e_form_raw_ev_per_fu": -17.357
}


3.
{
  "formula": "Sm6BiTe3Pb2",
  "functional": "GGA-PBE",
  "state": "relaxed",
  "lattice": [[9.797, -2.256, 0.000], [9.797, 2.256, 0.000], [-2.016, 0.000, 8.770]],
  "species": ["Sm", "Sm", "Sm", "Sm", "Sm", "Sm", "Bi", "Te", "Te", "Te", "Pb", "Pb"],
  "frac_coords": [[0.003, 0.003, 0.250], [0.332, 0.332, 0.421], [0.333, 0.333, 0.910], [0.667, 0.667, 0.090], [0.668, 0.668, 0.579], [0.997, 0.997, 0.750], [0.500, 0.500, 0.000], [0.165, 0.165, 0.833], [0.500, 0.500, 0.500], [0.835, 0.835, 0.167], [0.167, 0.167, 0.333], [0.833, 0.833, 0.667]],
  "crystal_system": "monoclinic",
  "e_form_raw_ev_per_fu": -12.848
}


4.
{
  "formula": "Sm6Bi3TePb2",
  "functional": "GGA-PBE",
  "state": "relaxed",
  "lattice": [[9.888, -2.251, 0.000], [9.888, 2.251, 0.000], [-2.089, 0.000, 8.870]],
  "species": ["Sm", "Sm", "Sm", "Sm", "Sm", "Sm", "Bi", "Bi", "Bi", "Te", "Pb", "Pb"],
  "frac_coords": [[0.001, 0.001, 0.252], [0.333, 0.333, 0.417], [0.334, 0.334, 0.916], [0.666, 0.666, 0.084], [0.667, 0.667, 0.583], [0.999, 0.999, 0.748], [0.165, 0.165, 0.833], [0.500, 0.500, 0.500], [0.835, 0.835, 0.167], [0.500, 0.500, 0.000], [0.166, 0.166, 0.332], [0.834, 0.834, 0.668]],
  "crystal_system": "monoclinic",
  "e_form_raw_ev_per_fu": -10.383
}


5.
{
  "formula": "SmThBiPb",
  "functional": "GGA-PBE",
  "state": "relaxed",
  "lattice": [[4.575, 0.000, 0.000], [0.000, 4.575, 0.000], [0.000, 0.000, 6.454]],
  "species": ["Sm", "Th", "Bi", "Pb"],
  "frac_coords": [[0.000, 0.000, 0.000], [0.500, 0.500, 0.500], [0.500, 0.500, 0.000], [0.000, 0.000, 0.500]],
  "formation_energy_ev_per_fu": -2.37,
  "crystal_system": "tetragonal"
}


6.
{
  "formula": "SmTmBiPb",
  "functional": "GGA-PBE",
  "state": "relaxed",
  "lattice": [[4.339, 0.000, 0.000], [-2.169, 3.757, 0.000], [0.000, 0.000, 23.395]],
  "species": ["Sm", "Sm", "Sm", "Tm", "Tm", "Tm", "Bi", "Bi", "Bi", "Pb", "Pb", "Pb"],
  "frac_coords": [[0.000, 0.000, 0.000], [0.333, 0.667, 0.667], [0.667, 0.333, 0.333], [0.000, 0.000, 0.504], [0.333, 0.667, 0.170], [0.667, 0.333, 0.837], [0.000, 0.000, 0.249], [0.333, 0.667, 0.916], [0.667, 0.333, 0.582], [0.000, 0.000, 0.754], [0.333, 0.667, 0.421], [0.667, 0.333, 0.088]],
  "formation_energy_ev_per_fu": -2.38,
  "crystal_system": "trigonal"
}


7.
{
  "formula": "SmYBiPb",
  "functional": "GGA-PBE",
  "state": "relaxed",
  "lattice": [[4.523, 0.000, 0.000], [0.000, 4.504, 0.000], [-0.006, 0.000, 6.367]],
  "species": ["Sm", "Y", "Bi", "Pb"],
  "frac_coords": [[0.000, 0.000, 0.000], [0.500, 0.500, 0.500], [0.500, 0.500, 0.000], [0.000, 0.000, 0.500]],
  "formation_energy_ev_per_fu": -2.54,
  "crystal_system": "monoclinic"
}


8.
{
  "formula": "Sn2Bi4Pb5",
  "functional": "GGA-PBE",
  "state": "relaxed",
  "lattice": [[-1.654, 4.756, 11.927], [1.654, -4.756, 11.927], [1.654, 4.756, -11.927]],
  "species": ["Sn", "Sn", "Bi", "Bi", "Bi", "Bi", "Pb", "Pb", "Pb", "Pb", "Pb"],
  "frac_coords": [[0.236, 0.236, 0.000], [0.764, 0.764, 0.000], [0.332, 0.000, 0.332], [0.363, 0.363, 0.000], [0.637, 0.637, 0.000], [0.668, 0.000, 0.668], [0.000, 0.500, 0.500], [0.061, 0.876, 0.186], [0.310, 0.124, 0.186], [0.690, 0.876, 0.814], [0.939, 0.124, 0.814]],
  "formation_energy_ev_per_fu": 1.66,
  "crystal_system": "orthorhombic",
  "e_above_lowest_polymorph_mev_per_atom": 56
}


Copy entry 3 word for word.
{
  "formula": "Sm6BiTe3Pb2",
  "functional": "GGA-PBE",
  "state": "relaxed",
  "lattice": [[9.797, -2.256, 0.000], [9.797, 2.256, 0.000], [-2.016, 0.000, 8.770]],
  "species": ["Sm", "Sm", "Sm", "Sm", "Sm", "Sm", "Bi", "Te", "Te", "Te", "Pb", "Pb"],
  "frac_coords": [[0.003, 0.003, 0.250], [0.332, 0.332, 0.421], [0.333, 0.333, 0.910], [0.667, 0.667, 0.090], [0.668, 0.668, 0.579], [0.997, 0.997, 0.750], [0.500, 0.500, 0.000], [0.165, 0.165, 0.833], [0.500, 0.500, 0.500], [0.835, 0.835, 0.167], [0.167, 0.167, 0.333], [0.833, 0.833, 0.667]],
  "crystal_system": "monoclinic",
  "e_form_raw_ev_per_fu": -12.848
}